## CoP3O9 (GGA+U)

Data for a geometry-optimized CoP3O9 structure.

a b c (Å): 6.6720 6.8750 7.3543
angles (deg): 102.36 93.60 93.82
Space group P-1 (No. 2)
Inequivalent atoms, fractional coordinates:
Co (0.1583, 0.0947, 0.3593) [2 per cell]
P (0.1448, 0.2025, 0.9438) [2 per cell]
P (0.3336, 0.4438, 0.7014) [2 per cell]
P (0.3357, 0.8841, 0.6994) [2 per cell]
O (0.0505, 0.8602, 0.1805) [2 per cell]
O (0.1268, 0.2464, 0.1496) [2 per cell]
O (0.1703, 0.9179, 0.5589) [2 per cell]
O (0.1817, 0.3330, 0.5408) [2 per cell]
O (0.2509, 0.3953, 0.8927) [2 per cell]
O (0.2812, 0.6738, 0.7459) [2 per cell]
O (0.3011, 0.0321, 0.8953) [2 per cell]
O (0.4492, 0.0813, 0.3362) [2 per cell]
O (0.4515, 0.5863, 0.3122) [2 per cell]

Values from the calculation:
Spin magnetization: 0.30 μB per atom
Final energy: -6.91 eV/atom
Distance to the lowest polymorph of the same formula: 59.0 meV/atom